An optimized crystal structure of ScV2PbO8. Source: Alexandria, functional PBE+U.

Lattice parameters (Å, degrees): 5.7723 5.7723 6.4525 90.00 90.00 120.00
Closest atoms and distances in Å follow each position.
Atoms (fractional coordinates):
O  0.6667  0.3333  0.9555  1 V 1.64
O  0.8374  0.6757  0.2895  1 V 1.79
O  0.3333  0.6667  0.0445  1 V 1.64
O  0.8384  0.1626  0.2895  1 V 1.79
O  0.1616  0.8374  0.7105  1 V 1.79
O  0.1626  0.3243  0.7105  1 V 1.79
O  0.3243  0.1616  0.2895  1 V 1.79
O  0.6757  0.8384  0.7105  1 V 1.79
Pb  0.0000  0.0000  0.0000  6 O 2.47
V  0.3333  0.6667  0.7896  4 O 1.64-1.79
V  0.6667  0.3333  0.2104  4 O 1.64-1.79
Sc  0.0000  0.0000  0.5000  6 O 2.12

Output
- Total energy: -88.3 eV for the cell shown